(1)
DFT (PBE-GGA) results for a geometry-optimized PrSm2Y structure.

Calculated formation energy   0.02 eV per atom
Total magnetic moment   0.0 μB/cell
Symmetry   P4/mmm
Energy above the most stable polymorph in this dataset   7.5 meV per atom

a b c (Å): 5.1544 5.1344 5.1344
angles (deg): 90.00 90.00 90.00
Last column: nearest neighbours and their distance in Å.
Fractional coordinates of all 4 atoms:
Pr 0.5000 0.0000 0.0000  4 Y 3.63, 8 Sm 3.64
Y 0.5000 0.5000 0.5000  4 Pr 3.63, 8 Sm 3.64
Sm 0.0000 0.0000 0.5000  4 Sm 3.63, 4 Y 3.64, 4 Pr 3.64
Sm 0.0000 0.5000 0.0000  4 Sm 3.63, 4 Pr 3.64, 4 Y 3.64

***

(2)
DFT (PBE-GGA) results for a geometry-optimized Pr3Sm6Y2 structure.

Calculated formation energy   0.27 eV per atom
Total magnetic moment   0.0 μB/cell
Symmetry   I4/mmm
Energy above the most stable polymorph in this dataset   255.6 meV per atom

a b c (Å): 4.8358 4.8358 17.2710
angles (deg): 98.05 98.05 90.00
Last column: nearest neighbours and their distance in Å.
Fractional coordinates of all 11 atoms:
Pr 0.0000 0.0000 0.0000  8 Y 3.76
Pr 0.7970 0.7970 0.5941  9 Sm 3.43-3.70
Pr 0.2030 0.2030 0.4059  9 Sm 3.43-3.70
Sm 0.1203 0.6203 0.2406  6 Sm 3.42-3.49, 2 Y 3.49, 2 Pr 3.70
Sm 0.6203 0.1203 0.2406  6 Sm 3.42-3.49, 2 Y 3.49, 2 Pr 3.70
Sm 0.8797 0.3797 0.7594  6 Sm 3.42-3.49, 2 Y 3.49, 2 Pr 3.70
Sm 0.3797 0.8797 0.7594  6 Sm 3.42-3.49, 2 Y 3.49, 2 Pr 3.70
Sm 0.6948 0.6948 0.3895  5 Pr 3.43-3.46, 4 Sm 3.49
Sm 0.3052 0.3052 0.6105  5 Pr 3.43-3.46, 4 Sm 3.49
Y 0.4541 0.4541 0.9083  1 Y 3.11
Y 0.5459 0.5459 0.0917  1 Y 3.11

***

(3)
DFT (PBE-GGA) results for a geometry-optimized PrSm7Y4 structure.

Calculated formation energy   0.24 eV per atom
Total magnetic moment   0.0 μB/cell
Symmetry   C2/m

a b c (Å): 6.0241 11.6805 6.7752
angles (deg): 83.34 63.60 75.06
Last column: nearest neighbours and their distance in Å.
Fractional coordinates of all 12 atoms:
Pr 0.0000 0.0000 0.0000  4 Sm 3.01-3.15
Sm 0.7904 0.9207 0.4984  1 Pr 3.15, 4 Sm 3.17-3.50, 4 Y 3.31-3.43
Sm 0.2096 0.0793 0.5016  1 Pr 3.15, 4 Sm 3.17-3.50, 4 Y 3.31-3.43
Sm 0.0605 0.6715 0.2075  4 Sm 3.32-3.60, 3 Y 3.67-3.70
Sm 0.9395 0.3285 0.7925  4 Sm 3.32-3.60, 3 Y 3.67-3.70
Sm 0.3697 0.5023 0.7583  2 Sm 3.14-3.33, 3 Y 3.32-3.49
Sm 0.5000 0.0000 0.0000  2 Pr 3.01, 2 Sm 3.17
Sm 0.6303 0.4977 0.2417  2 Sm 3.14-3.33, 3 Y 3.32-3.49
Y 0.6350 0.2244 0.5055  7 Sm 3.43-3.67, 2 Y 3.74
Y 0.3650 0.7756 0.4945  7 Sm 3.43-3.67, 2 Y 3.74
Y 0.7502 0.6828 0.8167  5 Sm 3.31-3.70
Y 0.2498 0.3172 0.1833  5 Sm 3.31-3.70

***

(4)
DFT (PBE-GGA) results for a geometry-optimized PrSm15Y4 structure.

Calculated formation energy   0.02 eV per atom
Total magnetic moment   0.0 μB/cell
Symmetry   P4/mmm

a b c (Å): 5.1245 5.1245 25.5844
angles (deg): 90.00 90.00 90.00
Last column: nearest neighbours and their distance in Å.
Fractional coordinates of all 20 atoms:
Pr 0.0000 0.0000 0.0000  12 Sm 3.62-3.65
Sm 0.5000 0.5000 0.0000  4 Pr 3.62, 8 Sm 3.65
Sm 0.5000 0.5000 0.2016  8 Sm 3.61-3.62, 4 Y 3.62
Sm 0.5000 0.5000 0.4003  8 Sm 3.61, 4 Y 3.62
Sm 0.5000 0.5000 0.5997  8 Sm 3.61, 4 Y 3.62
Sm 0.5000 0.5000 0.7984  8 Sm 3.61-3.62, 4 Y 3.62
Sm 0.5000 0.0000 0.1014  2 Y 3.62, 8 Sm 3.62-3.65, 2 Pr 3.65
Sm 0.5000 0.0000 0.3007  8 Sm 3.61-3.62, 4 Y 3.61
Sm 0.5000 0.0000 0.5000  4 Y 3.61, 8 Sm 3.61-3.62
Sm 0.5000 0.0000 0.6993  8 Sm 3.61-3.62, 4 Y 3.61
Sm 0.5000 0.0000 0.8986  2 Y 3.62, 8 Sm 3.62-3.65, 2 Pr 3.65
Sm 0.0000 0.5000 0.1014  2 Y 3.62, 8 Sm 3.62-3.65, 2 Pr 3.65
Sm 0.0000 0.5000 0.3007  8 Sm 3.61-3.62, 4 Y 3.61
Sm 0.0000 0.5000 0.5000  4 Y 3.61, 8 Sm 3.61-3.62
Sm 0.0000 0.5000 0.6993  8 Sm 3.61-3.62, 4 Y 3.61
Sm 0.0000 0.5000 0.8986  2 Y 3.62, 8 Sm 3.62-3.65, 2 Pr 3.65
Y 0.0000 0.0000 0.2012  12 Sm 3.61-3.62
Y 0.0000 0.0000 0.4004  12 Sm 3.61-3.62
Y 0.0000 0.0000 0.5996  12 Sm 3.61-3.62
Y 0.0000 0.0000 0.7988  12 Sm 3.61-3.62

***

(5)
DFT (PBE-GGA) results for a geometry-optimized Pr5SmY6 structure.

Calculated formation energy   0.01 eV per atom
Total magnetic moment   0.0 μB/cell
Symmetry   C2/m

a b c (Å): 11.9177 6.3153 6.3161
angles (deg): 60.00 84.94 79.83
Last column: nearest neighbours and their distance in Å.
Fractional coordinates of all 12 atoms:
Pr 0.5000 0.1667 0.6666  6 Y 3.61-3.62, 6 Pr 3.65
Pr 0.0000 0.3333 0.3334  6 Y 3.60-3.61, 3 Pr 3.65, 3 Sm 3.65
Pr 0.5000 0.5000 0.0000  6 Y 3.62, 6 Pr 3.65
Pr 0.0000 0.6667 0.6666  6 Y 3.60-3.61, 3 Pr 3.65, 3 Sm 3.65
Pr 0.5000 0.8333 0.3334  6 Y 3.61-3.62, 6 Pr 3.65
Sm 0.0000 0.0000 0.0000  6 Y 3.60, 6 Pr 3.65
Y 0.7507 0.0827 0.3330  1 Sm 3.60, 5 Pr 3.60-3.62, 6 Y 3.64-3.65
Y 0.2493 0.5843 0.3330  1 Sm 3.60, 5 Pr 3.60-3.62, 6 Y 3.64-3.65
Y 0.2494 0.2502 0.0000  1 Sm 3.60, 5 Pr 3.60-3.62, 6 Y 3.64-3.65
Y 0.7506 0.7498 0.0000  1 Sm 3.60, 5 Pr 3.60-3.62, 6 Y 3.64-3.65
Y 0.7507 0.4157 0.6670  1 Sm 3.60, 5 Pr 3.60-3.62, 6 Y 3.64-3.65
Y 0.2493 0.9173 0.6670  1 Sm 3.60, 5 Pr 3.60-3.62, 6 Y 3.64-3.65

***

(6)
DFT (PBE-GGA) results for a geometry-optimized Pr3SmY3 structure.

Calculated formation energy   0.25 eV per atom
Total magnetic moment   0.0 μB/cell
Symmetry   R3m
Energy above the most stable polymorph in this dataset   41.2 meV per atom

a b c (Å): 7.2256 6.6675 6.6675
angles (deg): 107.71 111.18 111.18
Last column: nearest neighbours and their distance in Å.
Fractional coordinates of all 7 atoms:
Pr 0.0210 0.5620 0.5620  1 Sm 3.02
Pr 0.4590 0.0000 0.4380  1 Sm 3.02
Pr 0.4590 0.4380 0.0000  1 Sm 3.02
Sm 0.4952 0.0000 0.0000  3 Pr 3.02
Y 0.6030 0.6341 0.6341  5 Pr 3.40-3.63, 1 Sm 3.41
Y 0.9689 0.0000 0.3659  5 Pr 3.40-3.63, 1 Sm 3.41
Y 0.9689 0.3659 0.0000  5 Pr 3.40-3.63, 1 Sm 3.41

***

(7)
DFT (PBE-GGA) results for a geometry-optimized Pr7Sm2Y2 structure.

Calculated formation energy   0.13 eV per atom
Total magnetic moment   0.0 μB/cell
Symmetry   C2/m
Energy above the most stable polymorph in this dataset   0.0 meV per atom

a b c (Å): 8.4219 7.0555 7.0555
angles (deg): 104.62 99.63 99.63
Last column: nearest neighbours and their distance in Å.
Fractional coordinates of all 11 atoms:
Pr 0.6689 0.9060 0.4945  3 Pr 3.32-3.69, 2 Sm 3.35-3.66
Pr 0.3311 0.5055 0.0940  3 Pr 3.32-3.69, 2 Sm 3.35-3.66
Pr 0.3311 0.0940 0.5055  3 Pr 3.32-3.69, 2 Sm 3.35-3.66
Pr 0.6689 0.4945 0.9060  3 Pr 3.32-3.69, 2 Sm 3.35-3.66
Pr 0.5000 0.0000 0.0000  10 Pr 3.60-4.00, 2 Y 3.85
Pr 0.3140 0.5719 0.5719  6 Pr 3.32-3.69, 2 Sm 3.52, 1 Y 3.54
Pr 0.6860 0.4281 0.4281  6 Pr 3.32-3.69, 2 Sm 3.52, 1 Y 3.54
Sm 0.0000 0.2824 0.7176  6 Pr 3.35-3.66, 4 Y 3.56-3.60
Sm 0.0000 0.7176 0.2824  6 Pr 3.35-3.66, 4 Y 3.56-3.60
Y 0.9694 0.1920 0.1920  1 Y 3.49, 5 Pr 3.54-3.85, 4 Sm 3.56-3.60
Y 0.0306 0.8080 0.8080  1 Y 3.49, 5 Pr 3.54-3.85, 4 Sm 3.56-3.60

***

(8)
DFT (PBE-GGA) results for a geometry-optimized PrSm5Y8 structure.

Calculated formation energy   0.23 eV per atom
Total magnetic moment   0.4 μB/cell
Symmetry   I-4

a b c (Å): 8.5219 8.5219 8.5219
angles (deg): 111.35 105.77 111.35
Last column: nearest neighbours and their distance in Å.
Fractional coordinates of all 14 atoms:
Pr 0.2500 0.5000 0.7500  4 Y 3.22
Sm 0.0356 0.3231 0.1377  8 Y 3.40-3.59, 2 Sm 3.60
Sm 0.8623 0.8979 0.1854  8 Y 3.40-3.59, 2 Sm 3.60
Sm 0.8146 0.6769 0.7125  8 Y 3.40-3.59, 2 Sm 3.60
Sm 0.5000 0.0000 0.5000  8 Y 3.15-3.34
Sm 0.2875 0.1021 0.9644  8 Y 3.40-3.59, 2 Sm 3.60
Y 0.1697 0.7411 0.0781  3 Sm 3.15-3.44, 1 Pr 3.22
Y 0.9219 0.0916 0.6630  3 Sm 3.15-3.44, 1 Pr 3.22
Y 0.7217 0.2501 0.3272  5 Sm 3.34-3.56, 3 Y 3.63-3.69
Y 0.6728 0.3946 0.9230  5 Sm 3.34-3.56, 3 Y 3.63-3.69
Y 0.5284 0.6054 0.2783  5 Sm 3.34-3.56, 3 Y 3.63-3.69
Y 0.5714 0.9084 0.8303  3 Sm 3.15-3.44, 1 Pr 3.22
Y 0.3370 0.2589 0.4286  3 Sm 3.15-3.44, 1 Pr 3.22
Y 0.0770 0.7499 0.4716  5 Sm 3.34-3.56, 3 Y 3.63-3.69